This record from Alexandria via LeMat-Bulk describes a relaxed structure of Rb3ICl6. The functional is PBE-GGA.

Cell lengths 8.5847, 8.5847, 11.1576 Å; angles 90.00, 90.00, 90.00 degrees
Last column: nearest neighbours and their distance in Å.
Space group I4/mmm (No. 139)
One atom of each set of equivalent atoms:
1 Rb 0.0000 0.0000 0.0000 (multiplicity 2)  6 Cl 3.09-3.10
2 Rb 0.0000 0.5000 0.2500 (multiplicity 4)  12 Cl 4.12-4.30
3 I 0.0000 0.0000 0.5000 (multiplicity 2)  2 Cl 2.49
4 Cl 0.0000 0.0000 0.2773 (multiplicity 4)  1 I 2.49
5 Cl 0.2445 0.2445 0.5000 (multiplicity 8)  1 I 2.97, 1 Rb 3.10

Values from the calculation:
Its formation energy (no corrections) is -10.6 eV/f.u. The calculation puts the density of states at the Fermi level at 0.000 states/eV/atom.